1.
CsMoIrW2 | GGA-PBE | optimized geometry

Computed properties:
Total DFT energy (no corrections) ... -36.10 eV/cell
Magnetization ... 0.755 μB/atom

abc: 4.969 5.007 4.969
angles: 90.00 90.00 90.00
Last column: magnetic moment on the atom in μB.
Fractional positions:
Cs  0.500  0.500  0.500  0.10
Mo  0.000  0.500  0.000  1.16
Ir  0.000  0.000  0.000  -0.08
W  0.000  0.000  0.500  0.94
W  0.500  0.000  0.000  0.92

***

2.
CsIrN2 | GGA-PBE | optimized geometry

Computed properties:
Polymorph energy (0 for the lowest one) ... 2.1470 eV/atom
Uncorrected formation energy ... 10.09 eV/f.u.
Magnetization ... 0.000 μB/atom

abc: 4.365 4.365 4.365
angles: 60.00 60.00 60.00
Fractional positions:
Cs  0.000  0.000  0.000
Ir  0.500  0.500  0.500
N  0.250  0.250  0.250
N  0.750  0.750  0.750

***

3.
CsIrN2 | GGA-PBE | optimized geometry

Computed properties:
Polymorph energy (0 for the lowest one) ... 0.4664 eV/atom
Uncorrected formation energy ... 3.37 eV/f.u.
Magnetization ... 0.000 μB/atom

abc: 7.144 7.144 7.144
angles: 27.64 27.64 27.64
Fractional positions:
Cs  0.000  0.000  0.000
Ir  0.500  0.500  0.500
N  0.867  0.867  0.867
N  0.133  0.133  0.133

***

4.
Cs3IrN | GGA-PBE | optimized geometry

Computed properties:
Uncorrected formation energy ... 6.54 eV/f.u.
Magnetization ... 0.426 μB/atom

abc: 6.188 6.188 6.188
angles: 90.00 90.00 90.00
Last column: magnetic moment on the atom in μB.
Fractional positions:
Cs  0.000  0.500  0.000  0.00
Cs  0.000  0.000  0.500  -0.01
Cs  0.500  0.000  0.000  0.01
Ir  0.000  0.000  0.000  0.15
N  0.500  0.500  0.500  1.31

***

5.
CsIrN3 | GGA-PBE | optimized geometry

Computed properties:
Uncorrected formation energy ... 19.49 eV/f.u.
Magnetization ... 0.675 μB/atom

abc: 4.280 4.280 4.280
angles: 90.00 90.00 90.00
Last column: magnetic moment on the atom in μB.
Fractional positions:
Cs  0.000  0.000  0.000  -0.02
Ir  0.500  0.500  0.500  2.04
N  0.000  0.500  0.000  0.38
N  0.000  0.000  0.500  0.33
N  0.500  0.000  0.000  0.26

***

6.
CsIrN2 | GGA-PBE | optimized geometry

Computed properties:
Polymorph energy (0 for the lowest one) ... 0.0000 eV/atom
Uncorrected formation energy ... 1.50 eV/f.u.
Magnetization ... 0.000 μB/atom

abc: 6.239 6.239 5.999
angles: 58.67 58.67 90.00
Fractional positions:
Cs  0.500  0.500  0.000
Cs  0.250  0.750  0.500
Ir  0.000  0.000  0.000
Ir  0.750  0.250  0.500
N  0.946  0.125  0.250
N  0.804  0.625  0.250
N  0.375  0.054  0.750
N  0.875  0.196  0.750

***

7.
CsIrN2O | GGA-PBE | optimized geometry

Computed properties:
Uncorrected formation energy ... 2.61 eV/f.u.
Magnetization ... 0.122 μB/atom

abc: 3.910 3.910 4.624
angles: 90.00 90.00 90.00
Last column: magnetic moment on the atom in μB.
Fractional positions:
Cs  0.500  0.500  0.500  0.03
Ir  0.000  0.000  0.000  -0.01
O  0.000  0.000  0.500  0.09
N  0.000  0.500  0.000  0.18
N  0.500  0.000  0.000  0.18

***

8.
CsIrN2O | GGA-PBE | optimized geometry

Computed properties:
Uncorrected formation energy ... 15.95 eV/f.u.
Magnetization ... 0.716 μB/atom

abc: 4.389 4.389 4.351
angles: 90.00 90.00 90.00
Last column: magnetic moment on the atom in μB.
Fractional positions:
Cs  0.000  0.000  0.000  -0.01
Ir  0.500  0.500  0.500  2.23
O  0.000  0.000  0.500  0.25
N  0.000  0.500  0.000  0.37
N  0.500  0.000  0.000  0.37

***

9.
CsReIrN2 | GGA-PBE | optimized geometry

Computed properties:
Uncorrected formation energy ... 4.66 eV/f.u.
Magnetization ... 0.000 μB/atom

abc: 3.961 5.313 3.961
angles: 90.00 90.00 90.00
Fractional positions:
Cs  0.500  0.500  0.500
Re  0.000  0.000  0.000
Ir  0.000  0.500  0.000
N  0.000  0.000  0.500
N  0.500  0.000  0.000

***

10.
CsIrS2N | GGA-PBE | optimized geometry

Computed properties:
Polymorph energy (0 for the lowest one) ... 2.5745 eV/atom
Uncorrected formation energy ... 14.03 eV/f.u.
Magnetization ... 0.985 μB/atom

abc: 5.590 5.590 4.400
angles: 90.00 90.00 90.00
Last column: magnetic moment on the atom in μB.
Fractional positions:
Cs  0.000  0.000  0.000  0.13
S  0.000  0.500  0.000  0.41
S  0.500  0.000  0.000  0.41
Ir  0.500  0.500  0.500  2.20
N  0.000  0.000  0.500  0.81

***

11.
CsIrSN2 | GGA-PBE | optimized geometry

Computed properties:
Uncorrected formation energy ... 15.73 eV/f.u.
Magnetization ... 0.385 μB/atom

abc: 4.087 4.087 6.537
angles: 90.00 90.00 90.00
Last column: magnetic moment on the atom in μB.
Fractional positions:
Cs  0.000  0.000  0.000  -0.03
S  0.000  0.000  0.500  0.14
Ir  0.500  0.500  0.500  1.58
N  0.000  0.500  0.000  0.01
N  0.500  0.000  0.000  0.01

***

12.
CsIrS2N | GGA-PBE | optimized geometry

Computed properties:
Polymorph energy (0 for the lowest one) ... 0.0000 eV/atom
Uncorrected formation energy ... 1.15 eV/f.u.
Magnetization ... 0.000 μB/atom

abc: 5.219 5.219 3.752
angles: 90.00 90.00 90.00
Fractional positions:
Cs  0.500  0.500  0.500
S  0.000  0.500  0.000
S  0.500  0.000  0.000
Ir  0.000  0.000  0.000
N  0.000  0.000  0.500

***

13.
CsIrSeN2 | GGA-PBE | optimized geometry

Computed properties:
Uncorrected formation energy ... 14.99 eV/f.u.
Magnetization ... 0.368 μB/atom

abc: 4.108 4.108 6.936
angles: 90.00 90.00 90.00
Last column: magnetic moment on the atom in μB.
Fractional positions:
Cs  0.000  0.000  0.000  -0.02
Ir  0.500  0.500  0.500  1.31
Se  0.000  0.000  0.500  0.15
N  0.000  0.500  0.000  0.07
N  0.500  0.000  0.000  0.07

***

14.
CsTcIr2N | GGA-PBE | optimized geometry

Computed properties:
Uncorrected formation energy ... 7.21 eV/f.u.
Magnetization ... 0.000 μB/atom

abc: 4.258 4.503 4.258
angles: 90.00 90.00 90.00
Fractional positions:
Cs  0.500  0.500  0.500
Ir  0.000  0.000  0.500
Ir  0.500  0.000  0.000
Tc  0.000  0.500  0.000
N  0.000  0.000  0.000

***

15.
CsTeIrN2 | GGA-PBE | optimized geometry

Computed properties:
Polymorph energy (0 for the lowest one) ... 1.5334 eV/atom
Uncorrected formation energy ... 14.09 eV/f.u.
Magnetization ... 0.293 μB/atom

abc: 4.131 4.131 8.053
angles: 90.00 90.00 90.00
Last column: magnetic moment on the atom in μB.
Fractional positions:
Cs  0.000  0.000  0.000  0.01
Ir  0.500  0.500  0.500  0.35
Te  0.000  0.000  0.500  0.03
N  0.000  0.500  0.000  0.35
N  0.500  0.000  0.000  0.35

***

16.
CsTeIrN2 | GGA-PBE | optimized geometry

Computed properties:
Polymorph energy (0 for the lowest one) ... 0.0000 eV/atom
Uncorrected formation energy ... 6.43 eV/f.u.
Magnetization ... 0.122 μB/atom

abc: 4.223 4.223 5.634
angles: 90.00 90.00 90.00
Last column: magnetic moment on the atom in μB.
Fractional positions:
Cs  0.500  0.500  0.500  0.00
Ir  0.000  0.000  0.000  -0.03
Te  0.000  0.000  0.500  0.02
N  0.000  0.500  0.000  0.22
N  0.500  0.000  0.000  0.22

***

17.
CsNa2Ir2 | GGA-PBE | optimized geometry

Computed properties:
Total DFT energy (no corrections) ... -17.07 eV/cell
Magnetization ... 0.579 μB/atom

abc: 5.270 5.270 6.498
angles: 66.08 66.08 90.00
Last column: magnetic moment on the atom in μB.
Fractional positions:
Cs  0.000  0.000  0.000  0.01
Na  0.750  0.250  0.500  0.01
Na  0.250  0.750  0.500  0.01
Ir  0.390  0.390  0.220  1.18
Ir  0.610  0.610  0.780  1.18

***

18.
Cs3NaIr | GGA-PBE | optimized geometry

Computed properties:
Polymorph energy (0 for the lowest one) ... 0.0000 eV/atom
Magnetization ... 0.200 μB/atom

abc: 6.685 6.685 6.685
angles: 90.00 90.00 90.00
Last column: magnetic moment on the atom in μB.
Fractional positions:
Cs  0.000  0.500  0.000  0.01
Cs  0.000  0.000  0.500  -0.01
Cs  0.500  0.000  0.000  0.03
Na  0.500  0.500  0.500  0.00
Ir  0.000  0.000  0.000  0.95

***

19.
Cs2NaIr | GGA-PBE | optimized geometry

Computed properties:
Total DFT energy (no corrections) ... -16.06 eV/cell
Magnetization ... 0.000 μB/atom

abc: 9.238 9.238 9.238
angles: 60.00 60.00 60.00
Fractional positions:
Cs  0.125  0.625  0.625
Cs  0.625  0.125  0.625
Cs  0.625  0.625  0.125
Cs  0.625  0.625  0.625
Na  0.250  0.250  0.250
Na  0.000  0.000  0.000
Ir  0.750  0.750  0.750
Ir  0.500  0.500  0.500

***

20.
CsNa2IrO | GGA-PBE | optimized geometry

Computed properties:
Polymorph energy (0 for the lowest one) ... 0.7905 eV/atom
Uncorrected formation energy ... 4.89 eV/f.u.
Magnetization ... 0.285 μB/atom

abc: 6.059 4.492 6.059
angles: 90.00 90.00 90.00
Last column: magnetic moment on the atom in μB.
Fractional positions:
Cs  0.000  0.000  0.000  0.00
Na  0.000  0.000  0.500  -0.01
Na  0.500  0.000  0.000  -0.01
Ir  0.500  0.500  0.500  1.43
O  0.000  0.500  0.000  0.02

***

21.
Cs2NaIrO4 | GGA-PBE | optimized geometry

Computed properties:
Uncorrected formation energy ... -8.60 eV/f.u.
Magnetization ... 0.250 μB/atom

abc: 6.217 7.774 10.744
angles: 83.36 73.18 66.43
Last column: magnetic moment on the atom in μB.
Fractional positions:
Cs  0.172  0.000  0.657  0.01
Cs  0.828  0.000  0.343  0.01
Cs  0.578  0.500  0.843  0.01
Cs  0.922  0.500  0.157  0.01
Na  0.750  0.500  0.500  0.00
Na  0.000  0.000  0.000  0.00
Ir  0.250  0.500  0.500  0.99
Ir  0.500  0.000  0.000  0.99
O  0.377  0.813  0.006  0.19
O  0.197  0.187  0.994  0.19
O  0.809  0.813  0.994  0.19
O  0.617  0.187  0.006  0.19
O  0.373  0.687  0.494  0.19
O  0.553  0.313  0.506  0.19
O  0.941  0.687  0.506  0.19
O  0.133  0.313  0.494  0.19

***

22.
CsNaIr2O | GGA-PBE | optimized geometry

Computed properties:
Uncorrected formation energy ... 2.25 eV/f.u.
Magnetization ... 0.000 μB/atom

abc: 4.158 5.549 4.158
angles: 90.00 90.00 90.00
Fractional positions:
Cs  0.000  0.500  0.000
Na  0.500  0.500  0.500
Ir  0.000  0.000  0.500
Ir  0.500  0.000  0.000
O  0.000  0.000  0.000

***

23.
Cs2Na2IrO4 | GGA-PBE | optimized geometry

Computed properties:
Uncorrected formation energy ... -10.89 eV/f.u.
Magnetization ... 0.336 μB/atom

abc: 6.010 6.764 9.755
angles: 102.64 90.00 116.38
Last column: magnetic moment on the atom in μB.
Fractional positions:
Cs  0.334  0.669  0.137  0.01
Cs  0.666  0.331  0.863  0.01
Cs  0.331  0.662  0.759  0.00
Cs  0.669  0.338  0.241  0.00
Na  0.027  0.053  0.658  0.01
Na  0.216  0.431  0.426  0.01
Na  0.973  0.947  0.342  0.01
Na  0.784  0.569  0.574  0.01
Ir  0.000  0.000  0.000  1.64
Ir  0.500  0.000  0.500  1.65
O  0.611  0.767  0.470  0.26
O  0.844  0.233  0.530  0.26
O  0.125  0.249  0.907  0.27
O  0.105  0.210  0.187  0.25
O  0.389  0.233  0.530  0.26
O  0.875  0.751  0.093  0.27
O  0.895  0.790  0.813  0.25
O  0.156  0.767  0.470  0.26

***

24.
CsNa2IrO6 | GGA-PBE | optimized geometry

Computed properties:
Uncorrected formation energy ... -9.21 eV/f.u.
Magnetization ... 0.001 μB/atom

abc: 6.426 6.426 6.426
angles: 55.56 55.56 55.56
Fractional positions:
Cs  0.464  0.464  0.464
Na  0.212  0.212  0.212
Na  0.688  0.688  0.688
Ir  0.016  0.016  0.016
O  0.368  0.993  0.901
O  0.993  0.901  0.368
O  0.992  0.190  0.676
O  0.676  0.992  0.190
O  0.901  0.368  0.993
O  0.190  0.676  0.992

***

25.
CsNa2IrO | GGA-PBE | optimized geometry

Computed properties:
Polymorph energy (0 for the lowest one) ... 0.0000 eV/atom
Uncorrected formation energy ... 0.93 eV/f.u.
Magnetization ... 0.400 μB/atom

abc: 4.695 5.706 4.695
angles: 90.00 90.00 90.00
Last column: magnetic moment on the atom in μB.
Fractional positions:
Cs  0.000  0.500  0.000  0.07
Na  0.000  0.000  0.500  0.00
Na  0.500  0.000  0.000  0.00
Ir  0.500  0.500  0.500  1.59
O  0.000  0.000  0.000  0.21

***

26.
CsNaIrO3 | GGA-PBE | optimized geometry

Computed properties:
Uncorrected formation energy ... -5.82 eV/f.u.
Magnetization ... 0.000 μB/atom

abc: 6.202 5.964 6.294
angles: 118.28 90.00 90.00
Fractional positions:
Cs  0.750  0.280  0.560
Cs  0.250  0.720  0.440
Na  0.250  0.416  0.831
Na  0.750  0.584  0.169
Ir  0.250  0.027  0.054
Ir  0.750  0.973  0.946
O  0.250  0.202  0.405
O  0.000  0.212  0.000
O  0.500  0.788  0.000
O  0.500  0.212  0.000
O  0.000  0.788  0.000
O  0.750  0.798  0.595

***

27.
CsNa2PIr | GGA-PBE | optimized geometry

Computed properties:
Total DFT energy (no corrections) ... -18.54 eV/cell
Magnetization ... 0.000 μB/atom

abc: 5.666 5.666 4.451
angles: 90.00 90.00 90.00
Fractional positions:
Cs  0.500  0.500  0.500
P  0.000  0.000  0.500
Ir  0.000  0.000  0.000
Na  0.000  0.500  0.000
Na  0.500  0.000  0.000